(1)
The following is a DFT calculation (PBE) of crystalline Li2TlPdF6 at its relaxed geometry.

a = 5.3354 Å, b = 5.6799 Å, c = 5.7709 Å
α = 91.02°, β = 114.36°, γ = 115.13°
Closest atoms and distances in Å follow each position.
Space group P1 (No. 1)
Asymmetric unit:
Li1 0.0000 0.0000 0.0000 [1 per cell]  4 F 1.89-1.99
Li2 0.0218 0.4339 0.4919 [1 per cell]  4 F 1.88-1.95
Tl1 0.5453 0.2326 0.7998 [1 per cell]  6 F 2.41-2.56
Pd1 0.5366 0.7327 0.2962 [1 per cell]  4 F 2.00
F1 0.0388 0.1945 0.7234 [1 per cell]  2 Li 1.93-1.99
F2 0.3402 0.9337 0.0752 [1 per cell]  1 Li 1.89, 1 Pd 2.00
F3 0.3733 0.7738 0.5423 [1 per cell]  1 Li 1.95, 1 Pd 2.00
F4 0.7053 0.6862 0.0560 [1 per cell]  1 Li 1.95, 1 Pd 2.00
F5 0.7286 0.5292 0.5173 [1 per cell]  1 Li 1.91, 1 Pd 2.00
F6 0.9847 0.2657 0.1868 [1 per cell]  2 Li 1.88-1.89

Properties
Its crystal system is triclinic. The value obtained for the total energy is -4.2649 eV/atom.

=====

(2)
The following is a DFT calculation (PBE) of crystalline Li2YPdF at its relaxed geometry.

a = 3.9877 Å, b = 3.9877 Å, c = 5.0713 Å
α = 90.00°, β = 90.00°, γ = 90.00°
Closest atoms and distances in Å follow each position.
Space group P4/mmm (No. 123)
Asymmetric unit:
Li1 0.0000 0.5000 0.0000 [2 per cell]  2 F 1.99
Y1 0.0000 0.0000 0.5000 [1 per cell]  2 F 2.54, 4 Pd 2.82
Pd1 0.5000 0.5000 0.5000 [1 per cell]  4 Y 2.82
F1 0.0000 0.0000 0.0000 [1 per cell]  4 Li 1.99

Properties
Its crystal system is tetragonal. The value obtained for the total energy is -4.8109 eV/atom.

=====

(3)
The following is a DFT calculation (PBE) of crystalline LiZrPdF2 at its relaxed geometry.

a = 4.0870 Å, b = 4.0870 Å, c = 6.0445 Å
α = 90.00°, β = 90.00°, γ = 90.00°
Closest atoms and distances in Å follow each position.
Space group P4/mmm (No. 123)
Asymmetric unit:
Li1 0.0000 0.0000 0.0000 [1 per cell]  4 Pd 2.89, 2 Zr 3.02
Zr1 0.0000 0.0000 0.5000 [1 per cell]  4 F 2.04
Pd1 0.5000 0.5000 0.0000 [1 per cell]  4 Li 2.89
F1 0.0000 0.5000 0.5000 [2 per cell]  2 Zr 2.04

Properties
Its crystal system is tetragonal. The value obtained for the total energy is -5.1773 eV/atom.

=====

(4)
The following is a DFT calculation (PBE) of crystalline Li6Pm4F19 at its relaxed geometry.

a = 8.6647 Å, b = 8.6647 Å, c = 8.6647 Å
α = 90.00°, β = 90.00°, γ = 90.00°
Closest atoms and distances in Å follow each position.
Space group I23 (No. 197)
Asymmetric unit:
Li1 0.0000 0.1619 0.5000 [12 per cell]  6 F 1.93-2.12
Pm1 0.1716 0.1716 0.1716 [8 per cell]  10 F 2.39-2.58
F1 0.0000 0.0000 0.0000 [2 per cell]  4 Pm 2.58, 6 F 2.74
F2 0.0000 0.0000 0.3164 [12 per cell]  2 Li 2.12
F3 0.0569 0.2869 0.6917 [24 per cell]  2 Li 1.93-2.04

Properties
Its crystal system is cubic. The value obtained for the total energy is -5.7295 eV/atom.

=====

(5)
The following is a DFT calculation (PBE) of crystalline LiPmF3 at its relaxed geometry.

a = 7.5564 Å, b = 5.1649 Å, c = 7.5258 Å
α = 90.00°, β = 103.15°, γ = 90.00°
Closest atoms and distances in Å follow each position.
Space group P2_1/c (No. 14)
Asymmetric unit:
Li1 0.0521 0.2481 0.0419 [4 per cell]  4 F 1.92-2.02
Pm1 0.3428 0.7094 0.3435 [4 per cell]  6 F 2.34-2.56
F1 0.0763 0.0162 0.8494 [4 per cell]  2 Li 1.92-1.96
F2 0.1864 0.5627 0.0372 [4 per cell]  2 Li 1.92-2.02
F3 0.4530 0.1463 0.3536 [4 per cell]  3 Pm 2.39-2.56, 1 F 2.63

Properties
Its crystal system is monoclinic. The value obtained for the total energy is -5.6391 eV/atom.

=====

(6)
The following is a DFT calculation (PBE) of crystalline Li3PmF6 at its relaxed geometry.

a = 7.2808 Å, b = 3.9155 Å, c = 8.3497 Å
α = 90.00°, β = 110.17°, γ = 90.00°
Closest atoms and distances in Å follow each position.
Space group P2_1/m (No. 11)
Asymmetric unit:
Li1 0.1207 0.2500 0.2353 [2 per cell]  5 F 1.87-2.06
Li2 0.1710 0.2500 0.8212 [2 per cell]  4 F 1.88-2.07
Li3 0.2862 0.7500 0.0898 [2 per cell]  3 F 1.93-2.01
Pm1 0.2943 0.7500 0.5740 [2 per cell]  9 F 2.33-2.54
F1 0.1073 0.2500 0.5430 [2 per cell]  1 Li 2.21, 2 Pm 2.35, 2 F 2.45
F2 0.1323 0.7500 0.2701 [2 per cell]  4 Li 1.98-2.16
F3 0.1750 0.7500 0.8072 [2 per cell]  3 Li 1.96-2.06
F4 0.2225 0.2500 0.0576 [2 per cell]  4 Li 1.87-2.01
F5 0.3840 0.2500 0.4221 [2 per cell]  1 Li 2.01
F6 0.4418 0.2500 0.7667 [2 per cell]  1 Li 1.93

Properties
Its crystal system is monoclinic. The value obtained for the total energy is -5.5538 eV/atom.

=====

(7)
The following is a DFT calculation (PBE) of crystalline LiPm6F12 at its relaxed geometry.

a = 11.0899 Å, b = 11.0899 Å, c = 8.6028 Å
α = 90.00°, β = 90.00°, γ = 120.00°
Closest atoms and distances in Å follow each position.
Space group R-3 (No. 148, hexagonal axes)
Asymmetric unit:
Li1 0.0000 0.0000 0.0000 [3 per cell]  6 F 2.12
Pm1 0.0454 0.4959 0.2934 [18 per cell]  6 F 2.37-2.51
F1 0.0429 0.1891 0.8907 [18 per cell]  1 Li 2.12
F2 0.0791 0.1806 0.3779 [18 per cell]  3 Pm 2.37-2.50

Properties
Its crystal system is trigonal. The value obtained for the total energy is -6.0279 eV/atom.

=====

(8)
The following is a DFT calculation (PBE) of crystalline LiPmF2 at its relaxed geometry.

a = 3.4898 Å, b = 3.4898 Å, c = 19.6719 Å
α = 90.00°, β = 90.00°, γ = 120.00°
Closest atoms and distances in Å follow each position.
Space group R-3m (No. 166, hexagonal axes)
Asymmetric unit:
Li1 0.0000 0.0000 0.0000 [3 per cell]  6 F 2.26
Pm1 0.0000 0.0000 0.5000 [3 per cell]  2 F 2.26
F1 0.0000 0.0000 0.3853 [6 per cell]  1 Pm 2.26, 3 Li 2.26

Properties
Its crystal system is trigonal. The value obtained for the total energy is -5.1447 eV/atom.

=====

The highest total energy belongs to which entry?
Li2TlPdF6

=====

Copy entry 5 word for word.
The following is a DFT calculation (PBE) of crystalline LiPmF3 at its relaxed geometry.

a = 7.5564 Å, b = 5.1649 Å, c = 7.5258 Å
α = 90.00°, β = 103.15°, γ = 90.00°
Closest atoms and distances in Å follow each position.
Space group P2_1/c (No. 14)
Asymmetric unit:
Li1 0.0521 0.2481 0.0419 [4 per cell]  4 F 1.92-2.02
Pm1 0.3428 0.7094 0.3435 [4 per cell]  6 F 2.34-2.56
F1 0.0763 0.0162 0.8494 [4 per cell]  2 Li 1.92-1.96
F2 0.1864 0.5627 0.0372 [4 per cell]  2 Li 1.92-2.02
F3 0.4530 0.1463 0.3536 [4 per cell]  3 Pm 2.39-2.56, 1 F 2.63

Properties
Its crystal system is monoclinic. The value obtained for the total energy is -5.6391 eV/atom.

=====

Number 5 is which compound?
LiPmF3

=====

Which value of total energy does entry 8 give?
-5.1447 eV/atom